K2ScIn (meta-GGA SCAN, PBEsol geometry); E_tot = -63.137 eV for the cell shown; ΔE_f = 0.286 eV per atom; V = 31.61 Å³/atom
1.0
-2.873 -0.614 -1.860
-1.676 -3.319 4.203
-2.915 5.058 2.832
In K Sc
1 2 1
Direct
0.500 0.000 0.500
0.245 0.239 0.000
0.755 0.761 0.000
0.000 0.500 0.500